# 1
Here is a geometry-optimized Zn3As structure from Alexandria. Energies are from PBEsol.

Output
M_tot: 0.000 μB per formula unit
VASP energy: -2.3398 eV/atom
energy of formation from the pure elements: 0.1232 eV/atom

a b c (Å): 3.880 3.880 8.373
angles (deg): 90.00 90.00 90.00
Space group I4/mmm (No. 139)
Inequivalent atoms, fractional coordinates:
1 Zn 0.000 0.000 0.000 [2 per cell]
2 Zn 0.000 0.500 0.250 [4 per cell]
3 As 0.000 0.000 0.500 [2 per cell]


# 2
Here is a geometry-optimized ZnAs3 structure from Alexandria. Energies are from PBEsol.

Output
M_tot: 0.000 μB per formula unit
VASP energy: -3.8742 eV/atom
energy of formation from the pure elements: 0.3511 eV/atom

a b c (Å): 2.9314 2.9314 28.6105
angles (deg): 90.00 90.00 120.00
Space group R-3m (No. 166, hexagonal axes)
Inequivalent atoms, fractional coordinates:
1 Zn 0.0000 0.0000 0.0000 [3 per cell]
2 As 0.0000 0.0000 0.2568 [6 per cell]
3 As 0.0000 0.0000 0.5000 [3 per cell]